Compound: CsTaPtS5
Source: the Open Quantum Materials Database
Functional: PBE-GGA
Structure: relaxed

**M_tot**: 0.00 μB/cell
**Total energy**: -5.65 eV per atom

```
CsTaPtS5
1.0
6.914 0.000 0.000
2.479 8.166 0.000
2.702 2.968 8.395
Cs Ta Pt S
2 2 2 10
Direct
0.145 0.317 0.324
0.855 0.683 0.676
0.245 0.994 0.997
0.755 0.006 0.003
0.491 0.687 0.332
0.509 0.313 0.668
0.079 0.806 0.961
0.199 0.912 0.285
0.373 0.070 0.714
0.411 0.606 0.613
0.432 0.232 0.952
0.568 0.768 0.048
0.589 0.394 0.387
0.627 0.930 0.286
0.801 0.088 0.715
0.921 0.194 0.039
```

=====

Compound: Cs2TePtS
Source: the Open Quantum Materials Database
Functional: PBE-GGA
Structure: relaxed

**M_tot**: 0.00 μB/cell
**Total energy**: -3.84 eV per atom

```
Cs2TePtS
1.0
-1.956 5.542 3.995
1.956 -5.542 3.995
1.956 5.542 -3.995
Cs Te Pt S
2 1 1 1
Direct
0.192 0.000 0.192
0.808 0.000 0.808
0.327 0.827 0.500
0.550 0.550 0.000
0.735 0.235 0.500
```

=====

Compound: CsTmPtS3
Source: the Open Quantum Materials Database
Functional: PBE-GGA
Structure: relaxed

**M_tot**: 0.05 μB/cell
**Total energy**: -5.14 eV per atom

```
CsTmPtS3
1.0
1.960 -8.109 0.000
1.960 8.109 0.000
0.000 0.000 10.028
Cs Tm Pt S
2 2 2 6
Direct
0.249 0.751 0.750
0.751 0.249 0.250
0.000 0.000 0.000
0.000 0.000 0.500
0.489 0.511 0.250
0.511 0.489 0.750
0.075 0.925 0.250
0.392 0.608 0.069
0.392 0.608 0.431
0.608 0.392 0.569
0.608 0.392 0.931
0.925 0.075 0.750
```

=====

Compound: CsZrPtS3
Source: the Open Quantum Materials Database
Functional: PBE-GGA
Structure: relaxed

**M_tot**: 0.22 μB/cell
**Total energy**: -5.80 eV per atom

```
CsZrPtS3
1.0
9.040 0.000 0.000
0.000 3.782 0.000
-4.216 0.000 9.029
Cs Zr Pt S
2 2 2 6
Direct
0.227 0.250 0.248
0.773 0.750 0.752
0.319 0.750 0.835
0.681 0.250 0.165
0.115 0.250 0.583
0.885 0.750 0.417
0.126 0.250 0.840
0.258 0.750 0.559
0.463 0.750 0.128
0.537 0.250 0.872
0.742 0.250 0.441
0.874 0.750 0.160
```